# 1
# MgAsRh2 (SCAN, PBEsol geometry)
data_MgAsRh2
_cell_length_a 4.1058
_cell_length_b 4.1058
_cell_length_c 3.3479
_cell_angle_alpha 90.00
_cell_angle_beta 90.00
_cell_angle_gamma 90.00
_symmetry_space_group_name_H-M 'P 4/m m m'
_symmetry_Int_Tables_number 123
_symmetry_space_group_name_Hall '-P 4 2'
loop_
_atom_site_label
_atom_site_type_symbol
_atom_site_fract_x
_atom_site_fract_y
_atom_site_fract_z
Mg1 Mg 0.0000 0.0000 0.0000
As1 As 0.5000 0.5000 0.0000
Rh1 Rh 0.0000 0.5000 0.5000
# DFT formation energy = -581 meV/atom
# calculated total energy = -23.7582 eV/atom
# crystal system = tetragonal
# volume = 14.11 A^3/atom

# 2
# MgAs2Rh (SCAN, PBEsol geometry)
data_MgAs2Rh
_cell_length_a 3.0155
_cell_length_b 3.9372
_cell_length_c 5.5528
_cell_angle_alpha 90.00
_cell_angle_beta 90.00
_cell_angle_gamma 90.00
_symmetry_space_group_name_H-M 'P m m 2'
_symmetry_Int_Tables_number 25
loop_
_symmetry_equiv_pos_as_xyz
'x,y,z'
'-x,-y,z'
'-x,y,z'
'x,-y,z'
loop_
_atom_site_label
_atom_site_type_symbol
_atom_site_fract_x
_atom_site_fract_y
_atom_site_fract_z
Mg1 Mg 0.0000 0.0000 0.0000
As1 As 0.0000 0.0000 0.4758
As2 As 0.5000 0.5000 0.8090
Rh1 Rh 0.5000 0.5000 0.3292
# DFT formation energy = -266 meV/atom
# calculated total energy = -20.0478 eV/atom
# crystal system = orthorhombic
# volume = 16.48 A^3/atom

> Which of these has the lowest calculated total energy?

MgAsRh2

> Which value of DFT formation energy does entry 2 give?

-266 meV/atom